(1)
This record from the Alexandria database describes Na3Hg2O4 after structural relaxation. The functional is GGA-PBE.

abc: 3.5795 5.9971 9.7272
angles: 132.21 90.00 107.36
With the nearest neighbours (Å) after each atom.
Fractional positions:
Na  0.6136  0.2271  0.8218  5 O 2.34-2.48
Na  0.0000  0.0000  0.0000  6 O 2.51-2.55
Na  0.3864  0.7729  0.1782  5 O 2.34-2.48
Hg  0.8038  0.6077  0.3984  2 O 2.02-2.04
Hg  0.1962  0.3923  0.6016  2 O 2.02-2.04
O  0.7091  0.4182  0.1274  1 Hg 2.02
O  0.2909  0.5818  0.8726  1 Hg 2.02
O  0.9196  0.8392  0.6802  1 Hg 2.04
O  0.0804  0.1608  0.3198  1 Hg 2.04

Summary:
DFT total energy = -3.56 eV per atom
distance to the lowest polymorph of the same formula = 0 meV/atom
DOS(E_F) = 0.550 states/eV per atom
formation energy (no corrections) = -0.854 eV/atom

=====

(2)
This record from the Alexandria database describes AcZnCdAu2 after structural relaxation. The functional is GGA-PBE.

abc: 6.0370 5.9227 7.5173
angles: 113.20 90.00 90.00
With the nearest neighbours (Å) after each atom.
Fractional positions:
Ac  0.2461  0.7500  0.5000  8 Au 3.28-3.33
Ac  0.7539  0.2500  0.5000  8 Au 3.28-3.33
Zn  0.0000  0.0000  0.0000  2 Au 2.55
Zn  0.0000  0.5000  0.0000  2 Au 2.55
Cd  0.5000  0.7500  0.0000  4 Au 2.93, 2 Cd 2.96
Cd  0.5000  0.2500  0.0000  4 Au 2.93, 2 Cd 2.96
Au  0.7458  0.8523  0.7045  1 Zn 2.55, 1 Au 2.83
Au  0.7458  0.6477  0.2955  1 Zn 2.55, 1 Au 2.83
Au  0.2542  0.3523  0.7045  1 Zn 2.55, 1 Au 2.83
Au  0.2542  0.1477  0.2955  1 Zn 2.55, 1 Au 2.83

Summary:
energy of formation = -2.3 eV/f.u.
DFT total energy = -3.04 eV per atom
DOS(E_F) = 0.497 states/eV per atom

=====

(3)
This record from the Alexandria database describes RbMgGa3 after structural relaxation. The functional is GGA-PBE.

abc: 5.3624 5.3624 5.3624
angles: 90.00 90.00 90.00
With the nearest neighbours (Å) after each atom.
Fractional positions:
Mg  0.0000  0.0000  0.0000  6 Ga 2.68
Ga  0.0000  0.5000  0.0000  2 Mg 2.68
Ga  0.0000  0.0000  0.5000  2 Mg 2.68
Ga  0.5000  0.0000  0.0000  2 Mg 2.68
Rb  0.5000  0.5000  0.5000  12 Ga 3.79

Summary:
energy of formation = 1.3 eV/f.u.
DFT total energy = -2.08 eV per atom
distance to the lowest polymorph of the same formula = 0 meV/atom
DOS(E_F) = 0.820 states/eV per atom

=====

(4)
This record from the Alexandria database describes LaMg9Ir2 after structural relaxation. The functional is GGA-PBE.

abc: 7.6117 9.0153 9.0153
angles: 79.73 65.03 65.03
With the nearest neighbours (Å) after each atom.
Fractional positions:
La  0.5000  0.0000  0.0000  18 Mg 3.64-3.81, 4 Ir 4.06
La  0.2500  0.5000  0.5000  18 Mg 3.64-3.81, 4 Ir 4.06
Mg  0.7500  0.5000  0.5000  8 Mg 3.01, 4 Ir 3.04
Mg  0.0000  0.0000  0.0000  8 Mg 3.01, 4 Ir 3.04
Mg  0.0196  0.9240  0.6798  2 Ir 2.76-2.77, 6 Mg 2.82-3.07
Mg  0.6233  0.0760  0.3202  2 Ir 2.76-2.77, 6 Mg 2.82-3.07
Mg  0.6936  0.1798  0.5760  2 Ir 2.76-2.77, 6 Mg 2.82-3.07
Mg  0.4494  0.8202  0.4240  2 Ir 2.76-2.77, 6 Mg 2.82-3.07
Mg  0.7304  0.8202  0.5760  2 Ir 2.76-2.77, 6 Mg 2.82-3.07
Mg  0.1267  0.1798  0.4240  2 Ir 2.76-2.77, 6 Mg 2.82-3.07
Mg  0.0564  0.9240  0.3202  2 Ir 2.76-2.77, 6 Mg 2.82-3.07
Mg  0.3006  0.0760  0.6798  2 Ir 2.76-2.77, 6 Mg 2.82-3.07
Mg  0.7304  0.5760  0.8202  2 Ir 2.76-2.77, 6 Mg 2.82-3.07
Mg  0.1267  0.4240  0.1798  2 Ir 2.76-2.77, 6 Mg 2.82-3.07
Mg  0.0564  0.3202  0.9240  2 Ir 2.76-2.77, 6 Mg 2.82-3.07
Mg  0.3006  0.6798  0.0760  2 Ir 2.76-2.77, 6 Mg 2.82-3.07
Mg  0.0196  0.6798  0.9240  2 Ir 2.76-2.77, 6 Mg 2.82-3.07
Mg  0.6233  0.3202  0.0760  2 Ir 2.76-2.77, 6 Mg 2.82-3.07
Mg  0.6936  0.5760  0.1798  2 Ir 2.76-2.77, 6 Mg 2.82-3.07
Mg  0.4494  0.4240  0.8202  2 Ir 2.76-2.77, 6 Mg 2.82-3.07
Ir  0.8750  0.2500  0.7500  10 Mg 2.76-3.04
Ir  0.8750  0.7500  0.2500  10 Mg 2.76-3.04
Ir  0.8750  0.2500  0.2500  10 Mg 2.76-3.04
Ir  0.3750  0.7500  0.7500  10 Mg 2.76-3.04

Summary:
energy of formation = -2.8 eV/f.u.
DFT total energy = -3.32 eV per atom
DOS(E_F) = 0.630 states/eV per atom

=====

(5)
This record from the Alexandria database describes LaGe2Cl after structural relaxation. The functional is GGA-PBE.

abc: 5.1738 5.1738 5.1738
angles: 60.00 60.00 60.00
With the nearest neighbours (Å) after each atom.
Fractional positions:
Ge  0.2500  0.2500  0.2500  4 La 3.17, 4 Cl 3.17
Ge  0.7500  0.7500  0.7500  4 La 3.17, 4 Cl 3.17
Cl  0.0000  0.0000  0.0000  8 Ge 3.17
La  0.5000  0.5000  0.5000  8 Ge 3.17

Summary:
DFT total energy = -4.14 eV per atom
distance to the lowest polymorph of the same formula = 283 meV/atom
DOS(E_F) = 0.585 states/eV per atom
formation energy (no corrections) = -0.136 eV/atom

=====

(6)
This record from the Alexandria database describes Ta2AlSi after structural relaxation. The functional is GGA-PBE.

abc: 4.5063 4.5063 4.5063
angles: 60.00 60.00 60.00
With the nearest neighbours (Å) after each atom.
Fractional positions:
Si  0.2500  0.2500  0.2500  4 Ta 2.76, 4 Al 2.76
Al  0.5000  0.5000  0.5000  4 Si 2.76, 4 Ta 2.76
Ta  0.0000  0.0000  0.0000  4 Ta 2.76, 4 Si 2.76
Ta  0.7500  0.7500  0.7500  4 Al 2.76, 4 Ta 2.76

Summary:
DFT total energy = -8.09 eV per atom
distance to the lowest polymorph of the same formula = 359 meV/atom
DOS(E_F) = 1.039 states/eV per atom
formation energy (no corrections) = 0.129 eV/atom

=====

(7)
This record from the Alexandria database describes Ca3Mg3Zn2 after structural relaxation. The functional is GGA-PBE.

abc: 4.0650 7.8525 7.8525
angles: 120.00 90.00 90.00
With the nearest neighbours (Å) after each atom.
Fractional positions:
Ca  0.5000  0.4115  0.4115  4 Zn 3.12, 6 Mg 3.43-3.47
Ca  0.5000  0.5885  0.0000  4 Zn 3.12, 6 Mg 3.43-3.47
Ca  0.5000  0.0000  0.5885  4 Zn 3.12, 6 Mg 3.43-3.47
Mg  0.0000  0.7629  0.7629  2 Zn 3.07, 2 Mg 3.23, 2 Ca 3.43
Mg  0.0000  0.2371  0.0000  2 Zn 3.07, 2 Mg 3.23, 2 Ca 3.43
Mg  0.0000  0.0000  0.2371  2 Zn 3.07, 2 Mg 3.23, 2 Ca 3.43
Zn  0.0000  0.3333  0.6667  3 Mg 3.07, 6 Ca 3.12
Zn  0.0000  0.6667  0.3333  3 Mg 3.07, 6 Ca 3.12

Summary:
energy of formation = -1.1 eV/f.u.
DFT total energy = -1.80 eV per atom
DOS(E_F) = 0.692 states/eV per atom

=====

(8)
This record from the Alexandria database describes GdTmRu4 after structural relaxation. The functional is GGA-PBE.

abc: 5.3300 5.3300 5.3300
angles: 60.00 60.00 60.00
With the nearest neighbours (Å) after each atom.
Fractional positions:
Gd  0.2500  0.2500  0.2500  12 Ru 3.13, 4 Tm 3.26
Ru  0.6252  0.6252  0.1245  6 Ru 2.66-2.67
Ru  0.6252  0.1245  0.6252  6 Ru 2.66-2.67
Ru  0.6252  0.6252  0.6252  6 Ru 2.66-2.67
Ru  0.1245  0.6252  0.6252  6 Ru 2.66-2.67
Tm  0.0000  0.0000  0.0000  12 Ru 3.12, 4 Gd 3.26

Summary:
energy of formation = -1.8 eV/f.u.
DFT total energy = -9.57 eV per atom
DOS(E_F) = 0.962 states/eV per atom

=====

(9)
This record from the Alexandria database describes Ce3CoAs after structural relaxation. The functional is GGA-PBE.

abc: 6.8254 6.8256 7.9012
angles: 64.41 64.41 60.00
With the nearest neighbours (Å) after each atom.
Fractional positions:
Ce  0.7741  0.4282  0.7328  2 Co 2.71-2.74, 2 As 2.92-2.97
Ce  0.0649  0.7741  0.7328  2 Co 2.71-2.74, 2 As 2.92-2.97
Ce  0.4282  0.0648  0.7328  2 Co 2.71-2.74, 2 As 2.92-2.97
Ce  0.2259  0.5718  0.2672  2 Co 2.71-2.74, 2 As 2.92-2.97
Ce  0.9351  0.2259  0.2672  2 Co 2.71-2.74, 2 As 2.92-2.97
Ce  0.5718  0.9352  0.2672  2 Co 2.71-2.74, 2 As 2.92-2.97
Co  0.8366  0.8366  0.4901  6 Ce 2.71-2.74
Co  0.1634  0.1634  0.5099  6 Ce 2.71-2.74
As  0.3428  0.3428  0.9716  6 Ce 2.92-2.97
As  0.6572  0.6572  0.0284  6 Ce 2.92-2.97

Summary:
energy of formation = -2.1 eV/f.u.
DFT total energy = -6.33 eV per atom
DOS(E_F) = 2.850 states/eV per atom

=====

(10)
This record from the Alexandria database describes SrZrCr2Mo after structural relaxation. The functional is GGA-PBE.

abc: 4.8593 4.8764 4.8593
angles: 90.00 90.00 90.00
With the nearest neighbours (Å) after each atom.
Fractional positions:
Sr  0.0000  0.0000  0.0000  4 Cr 2.43, 2 Mo 2.44
Mo  0.0000  0.5000  0.0000  2 Sr 2.44
Zr  0.5000  0.5000  0.5000  4 Mo 3.44, 8 Cr 3.44
Cr  0.0000  0.0000  0.5000  2 Sr 2.43
Cr  0.5000  0.0000  0.0000  2 Sr 2.43

Summary:
energy of formation = 11.4 eV/f.u.
DFT total energy = -5.78 eV per atom
DOS(E_F) = 1.346 states/eV per atom

=====

(11)
This record from the Alexandria database describes K3Sm3PaSe8 after structural relaxation. The functional is GGA-PBE.

abc: 8.5344 8.5349 9.2317
angles: 117.54 90.00 120.00
With the nearest neighbours (Å) after each atom.
Fractional positions:
K  0.0000  0.0000  0.0000  6 Se 3.36-3.37
K  0.0000  0.5000  0.0000  6 Se 3.36-3.37
K  0.5000  0.5000  0.0000  6 Se 3.36-3.37
Sm  0.5000  0.0000  0.5000  6 Se 2.95
Sm  0.5000  0.5000  0.5000  6 Se 2.95
Sm  0.0000  0.5000  0.5000  6 Se 2.95
Pa  0.0000  0.0000  0.5000  6 Se 2.88
Se  0.2640  0.5279  0.2919  3 Sm 2.95
Se  0.7360  0.4721  0.7081  3 Sm 2.95
Se  0.7695  0.5390  0.2977  1 Pa 2.88, 2 Sm 2.95
Se  0.2305  0.4610  0.7023  1 Pa 2.88, 2 Sm 2.95
Se  0.7695  0.0281  0.2977  1 Pa 2.88, 2 Sm 2.95
Se  0.2305  0.9719  0.7023  1 Pa 2.88, 2 Sm 2.95
Se  0.2586  0.0281  0.2977  1 Pa 2.88, 2 Sm 2.95
Se  0.7414  0.9719  0.7023  1 Pa 2.88, 2 Sm 2.95

Summary:
DFT total energy = -5.34 eV per atom
DOS(E_F) = 0.230 states/eV per atom
formation energy (no corrections) = -1.683 eV/atom

=====

(12)
This record from the Alexandria database describes CuBi3Mo after structural relaxation. The functional is GGA-PBE.

abc: 5.2118 5.2118 5.2118
angles: 90.00 90.00 90.00
With the nearest neighbours (Å) after each atom.
Fractional positions:
Mo  0.5000  0.5000  0.5000  12 Bi 3.69
Bi  0.0000  0.5000  0.0000  2 Cu 2.61
Bi  0.0000  0.0000  0.5000  2 Cu 2.61
Bi  0.5000  0.0000  0.0000  2 Cu 2.61
Cu  0.0000  0.0000  0.0000  6 Bi 2.61

Summary:
energy of formation = 5.0 eV/f.u.
DFT total energy = -4.32 eV per atom
distance to the lowest polymorph of the same formula = 145 meV/atom
DOS(E_F) = 0.618 states/eV per atom

=====

> Number 4 is which compound?

LaMg9Ir2

=====

> Among the records above, which one has the lowest DFT total energy?

GdTmRu4

=====

> DFT total energy of number 7 (Ca3Mg3Zn2)?

-1.80 eV per atom